(1)
Material: Sm3Mg2Zn4
Method: DFT, PBE-GGA
State: optimized geometry

a = 4.9871 Å, b = 4.9871 Å, c = 9.3095 Å
α = 90.00°, β = 90.00°, γ = 120.00°
Space group P-3m1 (No. 164)
Symmetry-distinct sites (fractional):
Sm 0.0000 0.0000 0.0000 [1 per cell]
Sm 0.3333 0.6667 0.5977 [2 per cell]
Mg 0.3333 0.6667 0.2201 [2 per cell]
Zn 0.0000 0.0000 0.3412 [2 per cell]
Zn 0.3333 0.6667 0.9137 [2 per cell]

DOS at the Fermi energy ... 4.080 states/eV per cell
Uncorrected energy ... -2.7633 eV per atom

=====

(2)
Material: Sm3MgZn
Method: DFT, PBE-GGA
State: optimized geometry

a = 5.274 Å, b = 20.052 Å, c = 5.264 Å
α = 90.00°, β = 90.00°, γ = 90.00°
Space group Cmcm (No. 63)
Symmetry-distinct sites (fractional):
Sm 0.000 0.063 0.250 [4 per cell]
Sm 0.000 0.250 0.250 [4 per cell]
Sm 0.000 0.434 0.250 [4 per cell]
Mg 0.000 0.157 0.750 [4 per cell]
Zn 0.000 0.341 0.750 [4 per cell]

DOS at the Fermi energy ... 21.100 states/eV per cell
Uncorrected energy ... -3.5388 eV per atom

=====

(3)
Material: Sm2Mg3Zn4
Method: DFT, PBE-GGA
State: optimized geometry

a = 6.034 Å, b = 16.908 Å, c = 7.642 Å
α = 90.00°, β = 90.00°, γ = 90.00°
Space group Cmce (No. 64)
Symmetry-distinct sites (fractional):
Sm 0.000 0.096 0.102 [8 per cell]
Mg 0.000 0.000 0.500 [4 per cell]
Mg 0.250 0.237 0.750 [8 per cell]
Zn 0.000 0.162 0.486 [8 per cell]
Zn 0.250 0.072 0.750 [8 per cell]

DOS at the Fermi energy ... 29.622 states/eV per cell
Uncorrected energy ... -2.3365 eV per atom

=====

(4)
Material: Sm4MgZn3
Method: DFT, PBE-GGA
State: optimized geometry

a = 3.703 Å, b = 5.201 Å, c = 10.410 Å
α = 90.00°, β = 90.00°, γ = 90.00°
Space group Pmmm (No. 47)
Symmetry-distinct sites (fractional):
Sm 0.000 0.000 0.000 [1 per cell]
Sm 0.000 0.000 0.500 [1 per cell]
Sm 0.000 0.500 0.239 [2 per cell]
Mg 0.500 0.500 0.500 [1 per cell]
Zn 0.500 0.000 0.256 [2 per cell]
Zn 0.500 0.500 0.000 [1 per cell]

DOS at the Fermi energy ... 8.802 states/eV per cell
Uncorrected energy ... -3.2915 eV per atom

=====

(5)
Material: Sm2MgZn3
Method: DFT, PBE-GGA
State: optimized geometry

a = 4.9509 Å, b = 4.9509 Å, c = 12.4795 Å
α = 90.00°, β = 90.00°, γ = 120.00°
Space group P-3m1 (No. 164)
Symmetry-distinct sites (fractional):
Sm 0.0000 0.0000 0.0000 [1 per cell]
Sm 0.0000 0.0000 0.5000 [1 per cell]
Sm 0.3333 0.6667 0.1829 [2 per cell]
Mg 0.3333 0.6667 0.6611 [2 per cell]
Zn 0.0000 0.0000 0.2566 [2 per cell]
Zn 0.3333 0.6667 0.4205 [2 per cell]
Zn 0.3333 0.6667 0.9091 [2 per cell]

E above lowest polymorph ... 0.0000 eV/atom
DOS at the Fermi energy ... 8.260 states/eV per cell
Uncorrected energy ... -2.7892 eV per atom

=====

(6)
Material: SmMg3Zn2
Method: DFT, PBE-GGA
State: optimized geometry

a = 16.428 Å, b = 4.595 Å, c = 7.987 Å
α = 90.00°, β = 118.63°, γ = 90.00°
Space group C2/m (No. 12)
Symmetry-distinct sites (fractional):
Sm 0.138 0.000 0.061 [4 per cell]
Mg 0.051 0.000 0.384 [4 per cell]
Mg 0.112 0.500 0.723 [4 per cell]
Mg 0.191 0.500 0.458 [4 per cell]
Zn 0.019 0.500 0.165 [4 per cell]
Zn 0.216 0.000 0.758 [4 per cell]

DOS at the Fermi energy ... 16.080 states/eV per cell
Uncorrected energy ... -2.1766 eV per atom

=====

| no. | magnetization (μB/atom) |
| --- | --- |
| 1 | 0.000 |
| 2 | 0.000 |
| 3 | 0.000 |
| 4 | 0.000 |
| 5 | 0.000 |
| 6 | 0.000 |